DFT (PBE-GGA) results for an optimized crystal structure of BaAs12Au4.

The space group is Im-3 (No. 204) and the conventional cell measures 9.177, 9.177 and 9.177 Å, with angles of 90.00, 90.00 and 90.00 degrees. The asymmetric unit holds Ba at (0.000, 0.000, 0.000), As at (0.000, 0.140, 0.360) and Au at (0.250, 0.250, 0.250).

As for the crystal system: cubic. The energy of formation from the pure elements is -9.45 kJ/mol of atoms. The uncorrected energy is -4.264 eV/atom. As for the density of states at the Fermi level: 0.348 states/eV per atom.